[1]
Density functional theory data (PBE+U) for Rb2HfCoF6 after structural relaxation.

Properties
E = -5.5149 eV/atom
spin magnetization = 2.92 μB/f.u.
D(E_F) = 0.311 states/eV per atom
SG = I4/mmm (139)

The structure in extended XYZ format:
```
10
Lattice="6.596 0.000 0.000 0.000 6.596 0.000 3.298 3.298 4.737" Properties=species:S:1:pos:R:3 pbc="T T T"
F 5.175 1.421 0.000
Rb 6.596 3.298 2.369
Hf 0.000 0.000 0.000
Co 3.298 3.298 0.000
Rb 3.298 6.596 2.369
F 6.596 6.596 2.012
F 3.298 3.298 2.726
F 5.175 5.175 0.000
F 1.421 1.421 0.000
F 1.421 5.175 0.000
```

---

[2]
Density functional theory data (PBE+U) for HfCo2RuF after structural relaxation.

Properties
E = -5.6865 eV/atom
spin magnetization = 3.82 μB/f.u.
D(E_F) = 0.718 states/eV per atom
SG = P4/mmm (123)

The structure in extended XYZ format:
```
5
Lattice="-1.977 -3.383 2.524 2.913 -2.416 -0.957 2.391 1.398 3.748" Properties=species:S:1:pos:R:3 pbc="T T T"
Hf 0.000 0.000 0.000
Co 1.196 0.699 1.874
Ru 1.664 -2.200 2.657
F 1.456 -1.208 -0.479
Co -0.988 -1.692 1.262
```

---

[3]
Density functional theory data (PBE+U) for Hf2VCoF after structural relaxation.

Properties
E = -5.7684 eV/atom
spin magnetization = 0.63 μB/f.u.
D(E_F) = 0.628 states/eV per atom
SG = P4/mmm (123)

The structure in extended XYZ format:
```
5
Lattice="5.008 0.000 0.000 0.000 3.938 0.000 0.000 0.000 5.008" Properties=species:S:1:pos:R:3 pbc="T T T"
Hf 0.000 0.000 2.504
Hf 2.504 0.000 0.000
F 2.504 1.969 2.504
Co 0.000 1.969 0.000
V 0.000 0.000 0.000
```

---

[4]
Density functional theory data (PBE+U) for Co2HgF6 after structural relaxation.

Properties
spin magnetization = 6.00 μB/f.u.
energy above the lowest structure with this stoichiometry = 0.0 kJ/mol of formula units
SG = P-31m (162)

The structure in extended XYZ format:
```
9
Lattice="-2.899 1.531 -3.648 2.979 -2.813 -3.548 -4.260 -2.328 2.408" Properties=species:S:1:pos:R:3 pbc="T T T"
F -0.575 -3.886 -3.012
F -1.032 0.105 -3.892
Co -3.297 -1.724 -1.401
F -2.917 -2.209 -3.366
F -3.605 0.277 -1.775
Hg -1.281 -5.141 -1.139
F -1.264 -1.401 -1.422
Co -0.884 -1.886 -3.386
F -3.148 -3.714 -0.895
```

---

[5]
Density functional theory data (PBE+U) for CoHgF3 after structural relaxation.

Properties
spin magnetization = 3.15 μB/f.u.
D(E_F) = 5.082 states/eV per atom
energy above the lowest structure with this stoichiometry = 331.4 kJ/mol of formula units
SG = Pm-3m (221)

The structure in extended XYZ format:
```
5
Lattice="4.548 0.000 0.000 0.000 4.548 0.000 0.000 0.000 4.548" Properties=species:S:1:pos:R:3 pbc="T T T"
F 2.274 0.000 0.000
F 0.000 0.000 2.274
F 0.000 2.274 0.000
Co 2.274 2.274 2.274
Hg 0.000 0.000 0.000
```

---

[6]
Density functional theory data (PBE+U) for CoHgF3 after structural relaxation.

Properties
spin magnetization = 2.91 μB/f.u.
D(E_F) = 1.656 states/eV per atom
energy above the lowest structure with this stoichiometry = 0.0 kJ/mol of formula units
SG = Pm-3m (221)

The structure in extended XYZ format:
```
5
Lattice="4.109 0.000 0.000 0.000 4.109 0.000 0.000 0.000 4.109" Properties=species:S:1:pos:R:3 pbc="T T T"
F 0.000 0.000 2.055
Co 0.000 0.000 0.000
Hg 2.055 2.055 2.055
F 0.000 2.055 0.000
F 2.055 0.000 0.000
```

---

[7]
Density functional theory data (PBE+U) for Co3HgF after structural relaxation.

Properties
spin magnetization = 6.75 μB/f.u.
D(E_F) = 0.493 states/eV per atom
energy above the lowest structure with this stoichiometry = 406.0 kJ/mol of formula units
SG = Pm-3m (221)

The structure in extended XYZ format:
```
5
Lattice="-4.048 1.987 2.163 -2.835 -1.680 -3.762 -0.769 -4.271 2.486" Properties=species:S:1:pos:R:3 pbc="T T T"
Co -0.384 -2.135 1.243
Co -1.417 -0.840 -1.881
Hg 0.000 0.000 0.000
F -3.826 -1.981 0.443
Co -2.024 0.994 1.081
```

---

[8]
Density functional theory data (PBE+U) for Co2Hg2F7 after structural relaxation.

Properties
E = -3.8386 eV/atom
spin magnetization = 6.07 μB/f.u.
D(E_F) = 0.220 states/eV per atom
SG = C2/m (12)

The structure in extended XYZ format:
```
11
Lattice="5.392 -0.101 -0.108 -0.134 4.990 1.938 -0.173 -0.657 5.311" Properties=species:S:1:pos:R:3 pbc="T T T"
F 3.912 2.288 3.875
Hg 2.554 3.752 2.593
F 1.027 1.856 6.037
Co 5.033 3.138 5.310
Hg 2.532 0.479 4.549
Co 0.053 1.094 1.832
F 4.041 -0.194 2.640
F 1.044 4.425 4.502
F 4.059 2.375 1.105
F 1.173 1.944 3.267
F 0.000 0.000 0.000
```

---

[9]
Density functional theory data (PBE+U) for CoHg2F8 after structural relaxation.

Properties
E = -3.3547 eV/atom
spin magnetization = 0.99 μB/f.u.
SG = C2/m (12)

The structure in extended XYZ format:
```
11
Lattice="-1.110 2.333 3.831 -5.792 1.558 -0.622 -2.853 -3.932 3.573" Properties=species:S:1:pos:R:3 pbc="T T T"
F -5.325 -0.960 2.476
Co 0.000 0.000 0.000
F -8.502 -0.315 5.544
Hg -6.453 -0.083 4.413
Hg -3.302 0.042 2.369
F -1.254 0.274 1.237
F -7.218 2.089 3.338
F -2.537 -2.130 3.443
F -5.270 -1.549 6.118
F -4.485 1.508 0.664
F -4.430 0.918 4.306
```

---

[10]
Density functional theory data (PBE+U) for CoHg3F after structural relaxation.

Properties
spin magnetization = 2.22 μB/f.u.
D(E_F) = 0.545 states/eV per atom
energy above the lowest structure with this stoichiometry = 70.8 kJ/mol of formula units
SG = Pm-3m (221)

The structure in extended XYZ format:
```
5
Lattice="-3.715 -0.239 -3.339 -3.336 -0.154 3.722 -0.281 4.993 -0.045" Properties=species:S:1:pos:R:3 pbc="T T T"
Hg -1.857 -0.120 -1.670
F 0.000 0.000 0.000
Co -3.666 2.300 0.169
Hg -0.140 2.496 -0.023
Hg -1.668 -0.077 1.861
```

---

[11]
Density functional theory data (PBE+U) for CoHgF after structural relaxation.

Properties
E = -3.1429 eV/atom
spin magnetization = 2.37 μB/f.u.
D(E_F) = 0.211 states/eV per atom
SG = C2/m (12)

The structure in extended XYZ format:
```
6
Lattice="2.979 0.000 0.000 0.000 5.060 0.068 -1.490 -1.682 7.489" Properties=species:S:1:pos:R:3 pbc="T T T"
F 1.490 1.306 4.819
Co 0.000 0.189 3.829
Co 1.490 3.188 3.728
Hg 1.490 -0.300 1.388
F 0.000 2.072 2.738
Hg 0.000 3.678 6.169
```

---

[12]
Density functional theory data (PBE+U) for CoHgF4 after structural relaxation.

Properties
E = -3.8934 eV/atom
spin magnetization = 3.00 μB/f.u.
SG = P2_1/c (14)

The structure in extended XYZ format:
```
12
Lattice="-3.161 -4.515 0.566 0.815 -1.213 -5.125 4.650 -2.604 1.356" Properties=species:S:1:pos:R:3 pbc="T T T"
F -0.634 -4.717 -0.080
Co 0.745 -3.559 0.961
Hg -1.173 -2.864 -2.280
F 2.044 -5.093 0.653
F 1.031 -2.586 -0.899
F 1.273 -5.745 -2.304
F 2.939 -3.614 -3.123
Hg 0.000 0.000 0.000
F 3.774 -3.058 -0.570
F -1.470 -5.273 -2.634
Co 2.732 -1.908 -1.884
F 0.260 -3.238 -3.857
```

---

[13]
Density functional theory data (PBE+U) for CoHgF6 after structural relaxation.

Properties
E = -3.5902 eV/atom
spin magnetization = 1.03 μB/f.u.
SG = P-31c (163)

The structure in extended XYZ format:
```
16
Lattice="5.134 0.000 0.000 -2.567 4.446 0.000 0.000 0.000 9.495" Properties=species:S:1:pos:R:3 pbc="T T T"
F 3.222 3.112 3.707
F -1.084 4.346 5.788
F 1.912 3.112 1.041
F 4.306 1.234 1.041
F 1.084 4.346 8.454
F -0.655 1.334 5.788
Co 0.000 0.000 0.000
F 3.651 0.100 3.707
F 1.483 0.100 1.041
F -1.739 3.212 8.454
F 1.739 3.212 5.788
F 0.655 1.334 8.454
F 0.828 1.234 3.707
Co 0.000 0.000 4.747
Hg 2.567 1.482 7.121
Hg 0.000 2.964 2.374
```

---

[14]
Density functional theory data (PBE+U) for Co2HgF6 after structural relaxation.

Properties
spin magnetization = 6.00 μB/f.u.
energy above the lowest structure with this stoichiometry = 13.6 kJ/mol of formula units
SG = P4_2/mnm (136)

The structure in extended XYZ format:
```
18
Lattice="4.957 0.000 0.000 0.000 4.957 0.000 0.000 0.000 10.098" Properties=species:S:1:pos:R:3 pbc="T T T"
Co 0.000 0.000 1.694
Co 2.479 2.479 6.742
F 4.092 0.865 0.000
Hg 0.000 0.000 5.049
F 3.931 1.026 3.204
Co 0.000 0.000 8.404
F 3.344 3.344 5.049
F 3.505 3.505 8.253
F 3.931 1.026 6.894
F 1.453 1.453 1.845
Co 2.479 2.479 3.355
F 3.505 3.505 1.845
Hg 2.479 2.479 0.000
F 1.026 3.931 6.894
F 1.614 1.614 5.049
F 0.865 4.092 0.000
F 1.453 1.453 8.253
F 1.026 3.931 3.204
```

---

[15]
Density functional theory data (PBE+U) for CoHg3F7 after structural relaxation.

Properties
E = -3.2611 eV/atom
spin magnetization = 2.99 μB/f.u.
D(E_F) = 0.035 states/eV per atom
SG = Cmcm (63)

The structure in extended XYZ format:
```
22
Lattice="6.812 0.111 0.000 -2.242 6.433 0.000 0.000 0.000 7.750" Properties=species:S:1:pos:R:3 pbc="T T T"
F 2.586 3.703 1.937
Co 2.285 3.272 0.000
F 1.926 5.310 7.547
F 1.984 2.841 5.812
F 2.643 1.235 3.672
F -0.935 5.629 5.812
Hg 3.345 0.407 5.812
F 5.606 1.061 5.812
F 2.643 1.235 0.202
F 1.926 5.310 4.077
F 4.321 3.637 7.547
F 0.248 2.907 3.672
F -1.037 5.484 1.937
Co 2.285 3.272 3.875
F 0.248 2.907 0.202
Hg 5.339 3.264 1.937
Hg 1.225 6.137 1.937
Hg -0.770 3.280 5.812
F 5.505 0.916 1.937
Hg 0.000 0.000 0.000
Hg 0.000 0.000 3.875
F 4.321 3.637 4.077
```

---

[16]
Density functional theory data (PBE+U) for CoHgF5 after structural relaxation.

Properties
E = -3.8139 eV/atom
spin magnetization = 4.00 μB/f.u.
SG = Immm (71)

The structure in extended XYZ format:
```
7
Lattice="3.664 0.000 1.342 1.494 5.229 1.592 0.002 0.123 5.665" Properties=species:S:1:pos:R:3 pbc="T T T"
F 0.444 1.635 4.459
F 1.981 4.154 5.933
F 1.053 3.717 2.798
Hg 2.580 2.676 4.300
F 3.179 1.198 2.666
Co 0.000 0.000 0.000
F 1.832 0.000 0.671
```

---

[17]
Density functional theory data (PBE+U) for CoHg3F after structural relaxation.

Properties
spin magnetization = 2.18 μB/f.u.
D(E_F) = 1.208 states/eV per atom
energy above the lowest structure with this stoichiometry = 0.0 kJ/mol of formula units
SG = Pm-3m (221)

The structure in extended XYZ format:
```
5
Lattice="-2.823 0.532 -4.253 -0.952 -5.043 0.001 -4.179 0.789 2.873" Properties=species:S:1:pos:R:3 pbc="T T T"
Hg -1.412 0.266 -2.127
F -3.977 -1.861 -0.690
Co 0.000 0.000 0.000
Hg -0.476 -2.522 0.001
Hg -2.090 0.395 1.436
```

---

[18]
Density functional theory data (PBE+U) for Co3HgF after structural relaxation.

Properties
spin magnetization = 6.00 μB/f.u.
D(E_F) = 0.319 states/eV per atom
energy above the lowest structure with this stoichiometry = 0.0 kJ/mol of formula units
SG = Pm-3m (221)

The structure in extended XYZ format:
```
5
Lattice="-1.119 -0.524 -4.040 0.604 -4.164 0.373 -4.028 -0.479 1.178" Properties=species:S:1:pos:R:3 pbc="T T T"
Hg -2.272 -2.584 -1.244
Co -0.560 -0.262 -2.020
Co -2.014 -0.240 0.589
Co 0.302 -2.082 0.186
F 0.000 0.000 0.000
```

---

[19]
Density functional theory data (PBE+U) for InCoHgF6 after structural relaxation.

Properties
E = -4.0591 eV/atom
spin magnetization = 3.06 μB/f.u.
D(E_F) = 0.686 states/eV per atom
SG = P-31c (163)

The structure in extended XYZ format:
```
18
Lattice="5.625 0.000 0.000 -2.813 4.872 0.000 0.000 0.000 11.485" Properties=species:S:1:pos:R:3 pbc="T T T"
F 1.789 2.969 7.498
F 0.653 4.807 3.987
Hg 0.000 0.000 0.000
In 0.000 3.248 8.614
F 1.024 1.903 3.987
F 1.677 3.033 1.755
Hg 0.000 0.000 5.743
F -0.653 4.807 1.755
F -1.024 1.903 1.755
Co 0.000 3.248 2.871
In 2.813 1.624 2.871
F 3.837 2.969 9.730
F 1.136 1.838 9.730
F 4.490 1.838 7.498
F -1.677 3.033 3.987
F 2.160 0.064 7.498
F 3.465 0.064 9.730
Co 2.813 1.624 8.614
```

---

[20]
Density functional theory data (PBE+U) for K3Co2HgF9 after structural relaxation.

Properties
E = -4.3208 eV/atom
spin magnetization = 6.01 μB/f.u.
D(E_F) = 0.000 states/eV per atom
SG = P-3m1 (164)

The structure in extended XYZ format:
```
15
Lattice="-5.724 0.755 -1.641 2.814 -5.161 -1.213 -2.262 -2.786 6.607" Properties=species:S:1:pos:R:3 pbc="T T T"
F -5.790 -2.197 2.983
F -1.455 -2.203 -1.427
K -3.599 -2.106 0.609
F -3.065 -2.556 3.765
Hg -1.131 -1.393 3.303
F -0.721 -2.538 1.347
F 1.407 -2.580 -0.606
K 0.000 0.000 0.000
Co -0.376 -3.612 -0.351
K -1.572 -5.086 3.144
F 0.619 -4.995 0.769
F -2.862 0.377 -0.821
F -2.106 -4.636 -0.012
F -4.451 -4.654 2.406
Co -4.796 -3.579 4.104
```

---

[21]
Density functional theory data (PBE+U) for KCo2HgF8 after structural relaxation.

Properties
E = -4.1851 eV/atom
spin magnetization = 7.00 μB/f.u.
D(E_F) = 0.428 states/eV per atom
SG = P2/m (10)

The structure in extended XYZ format:
```
12
Lattice="-1.071 0.590 5.163 4.765 -1.617 1.298 2.175 6.194 -0.254" Properties=species:S:1:pos:R:3 pbc="T T T"
F 4.714 5.483 4.073
F 5.014 3.690 1.979
F 3.579 2.399 4.108
Co 2.390 1.033 3.167
K 1.088 3.097 -0.127
F 2.030 4.824 4.089
F 2.291 2.768 2.099
F 1.156 -0.316 2.133
F 0.855 1.477 4.227
Co 3.479 4.134 3.040
F 3.840 0.343 2.118
Hg 0.000 0.000 0.000
```

---

[22]
Density functional theory data (PBE+U) for KCoHgF6 after structural relaxation.

Properties
E = -3.9355 eV/atom
spin magnetization = 0.10 μB/f.u.
D(E_F) = 0.000 states/eV per atom
SG = P-31c (163)

The structure in extended XYZ format:
```
18
Lattice="-3.041 -3.754 3.136 4.360 2.895 2.404 -6.604 7.654 2.760" Properties=species:S:1:pos:R:3 pbc="T T T"
F -2.936 8.187 4.125
F -3.231 4.635 5.246
Hg 0.242 2.592 3.338
K 0.000 0.000 0.000
F -2.716 5.905 2.955
F -4.899 6.398 4.389
Co -2.225 0.376 3.582
Hg -5.527 4.203 4.962
F -0.385 0.397 3.911
F -4.050 0.392 3.181
F -2.349 -1.392 4.175
F -2.569 0.890 5.345
F -3.343 6.989 6.475
Co -3.060 6.419 4.718
F -2.054 2.160 3.054
K -3.302 3.827 1.380
F -1.235 6.403 5.119
F -1.942 -0.194 1.825
```